Run one
Entry from Alexandria: crystalline Zn3ClF at its relaxed geometry (PBE-GGA).

a b c (Å): 5.233 5.233 5.233
angles (deg): 90.00 90.00 90.00
Space group Pm-3m (No. 221)
Symmetry-distinct sites (fractional):
Zn 0.000 0.000 0.500 x3
Cl 0.000 0.000 0.000 x1
F 0.500 0.500 0.500 x1

Results
- Magnetic moment: 0.0 μB/cell
- Crystal system: cubic

Run two
Entry from Alexandria: crystalline Zn3ClF at its relaxed geometry (PBE-GGA).

a b c (Å): 4.678 4.678 4.678
angles (deg): 90.00 90.00 90.00
Space group Pm-3m (No. 221)
Symmetry-distinct sites (fractional):
Zn 0.000 0.000 0.500 x3
Cl 0.500 0.500 0.500 x1
F 0.000 0.000 0.000 x1

Results
- Magnetic moment: 0.0 μB/cell
- Crystal system: cubic

Energetically preferred structure: run two | next structure: +373 meV per atom

Run one
Entry from Alexandria: crystalline ZnCl2F at its relaxed geometry (PBE-GGA).

a b c (Å): 3.6494 3.6494 22.0323
angles (deg): 90.00 90.00 120.00
Space group R-3m (No. 166, hexagonal axes)
Symmetry-distinct sites (fractional):
Zn 0.0000 0.0000 0.0000 x3
Cl 0.0000 0.0000 0.3936 x6
F 0.0000 0.0000 0.5000 x3

Results
- Magnetic moment: 3.0 μB/cell
- Crystal system: trigonal

Run two
Entry from Alexandria: crystalline ZnCl2F at its relaxed geometry (PBE-GGA).

a b c (Å): 6.325 6.325 6.325
angles (deg): 90.00 90.00 90.00
Space group Fm-3m (No. 225)
Symmetry-distinct sites (fractional):
Zn 0.000 0.000 0.000 x4
Cl 0.250 0.250 0.250 x8
F 0.000 0.000 0.500 x4

Results
- Magnetic moment: 4.0 μB/cell
- Crystal system: cubic

Run three
Entry from Alexandria: crystalline ZnCl2F at its relaxed geometry (PBE-GGA).

a b c (Å): 6.349 6.349 9.288
angles (deg): 90.00 90.00 90.00
Space group I-42d (No. 122)
Symmetry-distinct sites (fractional):
Zn 0.000 0.000 0.000 x4
Cl 0.188 0.250 0.125 x8
F 0.000 0.000 0.500 x4

Results
- Magnetic moment: 4.0 μB/cell
- Crystal system: tetragonal

Energetically preferred structure: run one | next structure: +13 meV per atom

Run one
Entry from Alexandria: crystalline Fe4Cl3 at its relaxed geometry (PBE-GGA).

a b c (Å): 3.132 3.132 24.424
angles (deg): 90.00 90.00 90.00
Space group I4/mmm (No. 139)
Symmetry-distinct sites (fractional):
Fe 0.000 0.000 0.077 x4
Fe 0.000 0.000 0.375 x4
Cl 0.000 0.000 0.181 x4
Cl 0.000 0.000 0.500 x2

Results
- Magnetic moment: 23.9 μB/cell
- Crystal system: tetragonal

Run two
Entry from Alexandria: crystalline Fe4Cl3 at its relaxed geometry (PBE-GGA).

a b c (Å): 5.8565 5.8565 4.3215
angles (deg): 90.00 90.00 120.00
Space group P6/mmm (No. 191)
Symmetry-distinct sites (fractional):
Fe 0.0000 0.0000 0.2418 x2
Fe 0.3333 0.6667 0.0000 x2
Cl 0.0000 0.5000 0.5000 x3

Results
- Magnetic moment: 13.2 μB/cell
- Crystal system: hexagonal

Energetically preferred structure: run one | next structure: +721 meV per atom

Run one
Entry from Alexandria: crystalline Fe5Cl at its relaxed geometry (PBE-GGA).

a b c (Å): 6.891 6.891 6.891
angles (deg): 90.00 90.00 90.00
Space group F-43m (No. 216)
Symmetry-distinct sites (fractional):
Fe 0.000 0.000 0.000 x4
Fe 0.126 0.126 0.626 x16
Cl 0.250 0.250 0.250 x4

Results
- Magnetic moment: 52.4 μB/cell
- Crystal system: cubic

Run two
Entry from Alexandria: crystalline Fe5Cl at its relaxed geometry (PBE-GGA).

a b c (Å): 4.070 2.900 13.295
angles (deg): 90.00 90.00 90.00
Space group Amm2 (No. 38)
Symmetry-distinct sites (fractional):
Fe 0.000 0.000 0.000 x2
Fe 0.000 0.000 0.303 x2
Fe 0.000 0.000 0.652 x2
Fe 0.500 0.000 0.145 x2
Fe 0.500 0.000 0.791 x2
Cl 0.500 0.000 0.438 x2

Results
- Magnetic moment: 26.2 μB/cell
- Crystal system: orthorhombic

Energetically preferred structure: run two | next structure: +293 meV per atom